VASP calculation (GGA-PBE) on a geometry-optimized GdBeSe2 structure.

Lattice parameters (Å, degrees): 3.6334 3.6334 24.5237 90.00 90.00 120.00
Last column: nearest neighbours and their distance in Å.
Space group R-3m (No. 166, hexagonal axes)
Symmetry-distinct sites (fractional):
Gd (0.0000, 0.0000, 0.0000)  2 Se 2.78
Be (0.0000, 0.0000, 0.5000)  6 Se 2.47
Se (0.0000, 0.0000, 0.1132)  3 Be 2.47

Values from the calculation:
E_form (uncorrected) (meV/atom): -366
N(E_F) (states/eV per atom): 0.863
Total energy (eV/atom): -6.560